# SrAcCdPb

A relaxed SrAcCdPb crystal (PBE, the Alexandria database).

total moment = 0.000 μB per formula unit
E_tot = -3.034 eV per atom
density of states at the Fermi level = 0.917 states/eV/atom

a = 5.8135 Å, b = 5.8135 Å, c = 5.8135 Å
α = 60.00°, β = 60.00°, γ = 60.00°
With the nearest neighbours (Å) after each atom.
Positions (direct):
Pb1 0.5000 0.5000 0.5000  4 Sr 3.56, 4 Ac 3.56
Sr1 0.2500 0.2500 0.2500  4 Pb 3.56, 4 Cd 3.56
Ac1 0.7500 0.7500 0.7500  4 Pb 3.56, 4 Cd 3.56
Cd1 0.0000 0.0000 0.0000  4 Ac 3.56, 4 Sr 3.56

***

# NaZnInAu3

A relaxed NaZnInAu3 crystal (PBE, the Alexandria database).

total moment = 0.000 μB per formula unit
E_tot = -2.726 eV per atom
density of states at the Fermi level = 0.273 states/eV/atom

a = 6.0861 Å, b = 6.4269 Å, c = 7.7348 Å
α = 65.45°, β = 82.92°, γ = 72.74°
With the nearest neighbours (Å) after each atom.
Positions (direct):
Na1 0.2500 0.2281 0.5438  8 Au 3.06-3.39, 1 Zn 3.25
Na2 0.7500 0.7719 0.4562  8 Au 3.06-3.39, 1 Zn 3.25
Zn1 0.7500 0.0031 0.9937  5 Au 2.60-2.69
Zn2 0.2500 0.9969 0.0063  5 Au 2.60-2.69
In1 0.2500 0.6088 0.7823  5 Au 2.77-3.00
In2 0.7500 0.3912 0.2177  5 Au 2.77-3.00
Au1 0.5853 0.7864 0.8419  2 Zn 2.60-2.61, 1 In 2.78, 2 Au 2.82-2.88
Au2 0.9147 0.3717 0.8419  2 Zn 2.60-2.61, 1 In 2.78, 2 Au 2.82-2.88
Au3 0.7500 0.1943 0.6114  1 Zn 2.69, 1 In 2.77, 2 Au 2.88
Au4 0.4147 0.2136 0.1581  2 Zn 2.60-2.61, 1 In 2.78, 2 Au 2.82-2.88
Au5 0.0853 0.6283 0.1581  2 Zn 2.60-2.61, 1 In 2.78, 2 Au 2.82-2.88
Au6 0.2500 0.8057 0.3886  1 Zn 2.69, 1 In 2.77, 2 Au 2.88

***

# CdGaPtAu

A relaxed CdGaPtAu crystal (PBE, the Alexandria database).

total moment = 0.000 μB per formula unit
E_tot = -3.522 eV per atom
density of states at the Fermi level = 0.506 states/eV/atom

a = 4.6172 Å, b = 4.6172 Å, c = 4.6172 Å
α = 60.00°, β = 60.00°, γ = 60.00°
With the nearest neighbours (Å) after each atom.
Positions (direct):
Au1 0.5000 0.5000 0.5000  4 Ga 2.83, 4 Cd 2.83
Ga1 0.7500 0.7500 0.7500  4 Pt 2.83, 4 Au 2.83
Pt1 0.0000 0.0000 0.0000  4 Cd 2.83, 4 Ga 2.83
Cd1 0.2500 0.2500 0.2500  4 Pt 2.83, 4 Au 2.83

***

# CrInGa2

A relaxed CrInGa2 crystal (PBE, the Alexandria database).

total moment = 0.000 μB per formula unit
E_tot = -4.080 eV per atom
density of states at the Fermi level = 0.532 states/eV/atom

a = 7.5832 Å, b = 7.5832 Å, c = 6.0048 Å
α = 50.84°, β = 50.84°, γ = 90.00°
With the nearest neighbours (Å) after each atom.
Positions (direct):
Cr1 0.5000 0.5000 0.0000  4 Ga 2.47, 2 In 2.70
Cr2 0.2500 0.7500 0.5000  4 Ga 2.47, 2 In 2.70
Ga1 0.5638 0.1250 0.2500  2 Cr 2.47
Ga2 0.1862 0.6250 0.2500  2 Cr 2.47
Ga3 0.3750 0.4362 0.7500  2 Cr 2.47
Ga4 0.8750 0.8138 0.7500  2 Cr 2.47
In1 0.0000 0.0000 0.0000  2 Cr 2.70
In2 0.7500 0.2500 0.5000  2 Cr 2.70

***

# V4TcMo5

A relaxed V4TcMo5 crystal (PBE, the Alexandria database).

total moment = 0.000 μB per formula unit
E_tot = -10.227 eV per atom
density of states at the Fermi level = 0.555 states/eV/atom

a = 3.0812 Å, b = 3.0812 Å, c = 15.4613 Å
α = 90.00°, β = 90.00°, γ = 90.00°
With the nearest neighbours (Å) after each atom.
Positions (direct):
V1 0.0000 0.0000 0.2024  8 Mo 2.65-2.66
V2 0.0000 0.0000 0.4010  8 Mo 2.66-2.68
V3 0.0000 0.0000 0.5990  8 Mo 2.66-2.68
V4 0.0000 0.0000 0.7976  8 Mo 2.65-2.66
Tc1 0.0000 0.0000 0.0000  8 Mo 2.70
Mo1 0.5000 0.5000 0.1032  4 V 2.66, 4 Tc 2.70
Mo2 0.5000 0.5000 0.3004  8 V 2.65-2.68
Mo3 0.5000 0.5000 0.5000  8 V 2.66
Mo4 0.5000 0.5000 0.6996  8 V 2.65-2.68
Mo5 0.5000 0.5000 0.8968  4 V 2.66, 4 Tc 2.70

***

# Nd5ErSc4

A relaxed Nd5ErSc4 crystal (PBE, the Alexandria database).

total moment = 0.000 μB per formula unit
E_tot = -5.325 eV per atom
energy relative to the lowest polymorph listed for this composition = 0 meV per atom
density of states at the Fermi level = 1.532 states/eV/atom

a = 3.5938 Å, b = 3.5938 Å, c = 23.3423 Å
α = 90.00°, β = 90.00°, γ = 90.00°
With the nearest neighbours (Å) after each atom.
Positions (direct):
Nd1 0.5000 0.5000 0.1074  4 Sc 3.43, 4 Er 3.57, 4 Nd 3.59
Nd2 0.5000 0.5000 0.3041  8 Sc 3.42, 4 Nd 3.59
Nd3 0.5000 0.5000 0.5000  8 Sc 3.42, 4 Nd 3.59
Nd4 0.5000 0.5000 0.6959  8 Sc 3.42, 4 Nd 3.59
Nd5 0.5000 0.5000 0.8926  4 Sc 3.43, 4 Er 3.57, 4 Nd 3.59
Er1 0.0000 0.0000 0.0000  8 Nd 3.57, 4 Er 3.59
Sc1 0.0000 0.0000 0.2059  8 Nd 3.42-3.43, 4 Sc 3.59
Sc2 0.0000 0.0000 0.4020  8 Nd 3.42, 4 Sc 3.59
Sc3 0.0000 0.0000 0.5980  8 Nd 3.42, 4 Sc 3.59
Sc4 0.0000 0.0000 0.7941  8 Nd 3.42-3.43, 4 Sc 3.59